1.
The following is a DFT calculation (PBE) of a relaxed structure of LiLa2Ag2.

Cell lengths 5.9661, 5.9661, 5.9165 Å; angles 59.72, 59.72, 90.00 degrees
Atoms (fractional coordinates):
Li1 0.0000 0.0000 0.0000
Ag1 0.3420 0.3420 0.3160
Ag2 0.6580 0.6580 0.6840
La1 0.7500 0.2500 0.5000
La2 0.2500 0.7500 0.5000

SG	I4/mmm
energy relative to the elements	-0.004	eV/atom
relative energy among the computed polymorphs	0.180	eV per atom
total magnetic moment	0.00	μB/cell
D(E_F)	1.00	states/eV/atom

***

2.
The following is a DFT calculation (PBE) of a relaxed structure of La3ZnN.

Cell lengths 6.6750, 6.5306, 6.2712 Å; angles 80.99, 78.90, 100.15 degrees
Atoms (fractional coordinates):
Zn1 0.9148 0.6366 0.4018
Zn2 0.8289 0.8977 0.1092
La1 0.6540 0.4753 0.9036
La2 0.3897 0.5860 0.4574
La3 0.1210 0.3875 0.0479
La4 0.0902 0.0589 0.6076
La5 0.6231 0.1468 0.4634
La6 0.3543 0.9484 0.0538
N1 0.3720 0.2672 0.7556
N2 0.3720 0.2672 0.2556

formation energy from raw total energies	-0.606	eV per atom
SG	P-1
relative energy among the computed polymorphs	0.090	eV per atom
total magnetic moment	0.00	μB/cell
D(E_F)	0.86	states/eV/atom

***

3.
The following is a DFT calculation (PBE) of a relaxed structure of Mg2MnSnAu.

Cell lengths 4.8890, 4.7673, 4.8890 Å; angles 90.00, 90.00, 90.00 degrees
Atoms (fractional coordinates):
Mg1 0.0000 0.0000 0.5000
Mg2 0.5000 0.0000 0.0000
Mn1 0.0000 0.0000 0.0000
Au1 0.0000 0.5000 0.0000
Sn1 0.5000 0.5000 0.5000

SG	P4/mmm
energy relative to the elements	0.649	eV/atom
total magnetic moment	0.00	μB/cell
D(E_F)	0.89	states/eV/atom